First-principles (PBE) data for TbSmGdSc after structural relaxation, as listed in Alexandria via LeMat-Bulk.

Cell: 7.8858 7.8858 7.8858 Å, 90.00 90.00 90.00°
Space group F-43m (No. 216)
Inequivalent atoms, fractional coordinates:
Tb (0.0000, 0.0000, 0.0000)
Sm (0.2500, 0.2500, 0.2500)
Gd (0.2500, 0.2500, 0.7500)
Sc (0.0000, 0.0000, 0.5000)

Summary:
E in eV per atom: -7.33
Formation energy from the elements in eV/atom: 0.11
Total magnetization in μB per formula unit: 7.68